The following is a PBE calculation of crystalline Ca3Pb at its relaxed geometry, from Alexandria.

Output
formation energy from the elements: -17.2 kJ/mol of atoms
density of states at the Fermi level: 1.21 states/eV/atom
SG: R-3m
ρ: 3.65 g cm⁻³
spin magnetization: 0.00 μB per formula unit

Cell: 11.726 11.726 11.726 Å, 18.96 18.96 18.96°
Fractional coordinates of all 4 atoms:
Ca 0.500 0.500 0.500
Ca 0.262 0.262 0.262
Ca 0.738 0.738 0.738
Pb 0.000 0.000 0.000


The following is a PBE calculation of crystalline GaSe2SN at its relaxed geometry, from Alexandria.

Output
density of states at the Fermi level: 0.72 states/eV/atom
SG: P4/mmm
ρ: 4.86 g cm⁻³
formation energy from raw total energies: 0.78 eV/atom
energy above the lowest structure with this stoichiometry: 0.00 eV/f.u.
spin magnetization: 0.00 μB per formula unit

Cell: 5.313 5.313 3.314 Å, 90.00 90.00 90.00°
Fractional coordinates of all 5 atoms:
Ga 0.500 0.500 0.500
N 0.000 0.000 0.500
Se 0.000 0.500 0.000
Se 0.500 0.000 0.000
S 0.000 0.000 0.000


The following is a PBE calculation of crystalline Mg2GaPd2 at its relaxed geometry, from Alexandria.

Output
formation energy from the elements: -20.6 kJ/mol of atoms
density of states at the Fermi level: 0.39 states/eV/atom
SG: I4/mmm
ρ: 5.79 g cm⁻³
spin magnetization: 0.00 μB per formula unit

Cell: 3.926 3.926 6.762 Å, 73.12 73.12 90.00°
Fractional coordinates of all 5 atoms:
Mg 0.750 0.250 0.500
Mg 0.250 0.750 0.500
Pd 0.605 0.605 0.789
Pd 0.395 0.395 0.211
Ga 0.000 0.000 0.000


The following is a PBE calculation of crystalline TcMoPt2 at its relaxed geometry, from Alexandria.

Output
formation energy from the elements: -17.5 kJ/mol of atoms
density of states at the Fermi level: 0.97 states/eV/atom
SG: Cm
ρ: 15.87 g cm⁻³
energy above the lowest structure with this stoichiometry: 0.30 eV/f.u.
spin magnetization: 0.00 μB per formula unit

Cell: 4.832 4.832 4.908 Å, 81.65 81.65 32.66°
Fractional coordinates of all 4 atoms:
Pt 0.004 0.004 0.992
Pt 0.245 0.245 0.260
Tc 0.500 0.500 0.495
Mo 0.751 0.751 0.753


The following is a PBE calculation of crystalline NaNiP2Cl at its relaxed geometry, from Alexandria.

Output
density of states at the Fermi level: 1.89 states/eV/atom
SG: P4/mmm
ρ: 2.53 g cm⁻³
formation energy from raw total energies: 1.38 eV/atom
energy above the lowest structure with this stoichiometry: 8.07 eV/f.u.
spin magnetization: 0.20 μB per formula unit

Cell: 4.953 4.953 4.797 Å, 90.00 90.00 90.00°
Last column: magnetic moment on the atom in μB.
Fractional coordinates of all 5 atoms:
Ni 0.500 0.500 0.500  0.86
P 0.000 0.500 0.000  -0.20
P 0.500 0.000 0.000  -0.20
Cl 0.000 0.000 0.500  -0.14
Na 0.000 0.000 0.000  0.00


The following is a PBE calculation of crystalline Ho2Tm3Cd at its relaxed geometry, from Alexandria.

Output
formation energy from the elements: -8.6 kJ/mol of atoms
density of states at the Fermi level: 1.34 states/eV/atom
SG: P4/mmm
ρ: 9.10 g cm⁻³
energy above the lowest structure with this stoichiometry: 0.00 eV/f.u.
spin magnetization: 0.00 μB per formula unit

Cell: 3.511 3.511 14.048 Å, 90.00 90.00 90.00°
Fractional coordinates of all 6 atoms:
Ho 0.500 0.500 0.176
Ho 0.500 0.500 0.824
Tm 0.000 0.000 0.648
Tm 0.000 0.000 0.000
Tm 0.000 0.000 0.352
Cd 0.500 0.500 0.500


The following is a PBE calculation of crystalline BaVAs2I at its relaxed geometry, from Alexandria.

Output
density of states at the Fermi level: 0.96 states/eV/atom
SG: P4/mmm
ρ: 3.68 g cm⁻³
formation energy from raw total energies: 1.64 eV/atom
spin magnetization: 1.15 μB per formula unit

Cell: 5.744 6.363 5.744 Å, 90.00 90.00 90.00°
Last column: magnetic moment on the atom in μB.
Fractional coordinates of all 5 atoms:
I 0.500 0.500 0.500  -0.09
V 0.000 0.500 0.000  -0.17
As 0.000 0.000 0.500  -0.29
As 0.500 0.000 0.000  -0.18
Ba 0.000 0.000 0.000  0.01


The following is a PBE calculation of crystalline Th3MgPb5 at its relaxed geometry, from Alexandria.

Output
formation energy from the elements: -23.7 kJ/mol of atoms
density of states at the Fermi level: 0.81 states/eV/atom
SG: P6_3/mcm
ρ: 11.11 g cm⁻³
spin magnetization: 0.00 μB per formula unit

Cell: 6.534 9.631 9.631 Å, 120.00 90.00 90.00°
Fractional coordinates of all 18 atoms:
Pb 0.500 0.667 0.333
Pb 0.250 0.274 0.000
Pb 0.250 0.726 0.726
Pb 0.000 0.667 0.333
Pb 0.500 0.333 0.667
Pb 0.750 0.274 0.274
Pb 0.000 0.333 0.667
Pb 0.750 0.000 0.726
Pb 0.250 0.000 0.274
Pb 0.750 0.726 0.000
Th 0.250 0.383 0.383
Th 0.250 0.617 0.000
Th 0.750 0.617 0.617
Th 0.750 0.000 0.383
Th 0.250 0.000 0.617
Th 0.750 0.383 0.000
Mg 0.500 0.000 0.000
Mg 0.000 0.000 0.000


The following is a PBE calculation of crystalline CoSbPb2 at its relaxed geometry, from Alexandria.

Output
density of states at the Fermi level: 0.72 states/eV/atom
SG: Cm
ρ: 9.61 g cm⁻³
formation energy from raw total energies: 0.13 eV/atom
energy above the lowest structure with this stoichiometry: 0.00 eV/f.u.
spin magnetization: 0.00 μB per formula unit

Cell: 4.664 4.664 7.140 Å, 72.09 72.09 44.56°
Fractional coordinates of all 4 atoms:
Pb 0.922 0.922 0.053
Pb 0.742 0.742 0.695
Sb 0.565 0.565 0.375
Co 0.272 0.272 0.377


The following is a PBE calculation of crystalline TmMnSi2Rh at its relaxed geometry, from Alexandria.

Output
density of states at the Fermi level: 0.81 states/eV/atom
SG: I-4m2
ρ: 7.97 g cm⁻³
formation energy from raw total energies: -0.83 eV/atom
spin magnetization: 2.50 μB per formula unit

Cell: 3.972 3.972 5.786 Å, 110.07 110.07 90.00°
Last column: magnetic moment on the atom in μB.
Fractional coordinates of all 5 atoms:
Si 0.382 0.382 0.765  -0.04
Si 0.618 0.618 0.235  -0.04
Rh 0.250 0.750 0.500  0.04
Tm 0.000 0.000 0.000  0.03
Mn 0.750 0.250 0.500  2.39


The following is a PBE calculation of crystalline FeTcAs2 at its relaxed geometry, from Alexandria.

Output
formation energy from the elements: -1.0 kJ/mol of atoms
density of states at the Fermi level: 0.77 states/eV/atom
SG: P4mm
ρ: 8.60 g cm⁻³
energy above the lowest structure with this stoichiometry: 0.08 eV/f.u.
spin magnetization: 1.62 μB per formula unit

Cell: 3.243 3.248 5.570 Å, 90.00 90.00 90.00°
Last column: magnetic moment on the atom in μB.
Fractional coordinates of all 4 atoms:
Tc 0.500 0.500 0.776  -0.01
Fe 0.000 0.000 0.442  1.73
As 0.000 0.000 0.969  -0.02
As 0.500 0.500 0.313  -0.04


The following is a PBE calculation of crystalline Cs2Rb2O at its relaxed geometry, from Alexandria.

Output
density of states at the Fermi level: 0.43 states/eV/atom
SG: Pbam
ρ: 2.49 g cm⁻³
formation energy from raw total energies: -0.57 eV/atom
spin magnetization: 0.00 μB per formula unit

Cell: 4.521 8.228 16.247 Å, 90.00 90.00 90.00°
Fractional coordinates of all 10 atoms:
Cs 0.000 0.764 0.124
Cs 0.000 0.236 0.876
Cs 0.000 0.736 0.624
Cs 0.000 0.264 0.376
Rb 0.500 0.167 0.080
Rb 0.500 0.667 0.420
Rb 0.500 0.833 0.920
Rb 0.500 0.333 0.580
O 0.000 0.500 0.500
O 0.000 0.000 0.000


The following is a PBE calculation of crystalline NaLiBi at its relaxed geometry, from Alexandria.

Output
formation energy from the elements: -31.7 kJ/mol of atoms
density of states at the Fermi level: 0.33 states/eV/atom
SG: I4mm
ρ: 5.14 g cm⁻³
energy above the lowest structure with this stoichiometry: 0.26 eV/f.u.
spin magnetization: 0.00 μB per formula unit

Cell: 3.985 3.985 5.617 Å, 110.77 110.77 90.00°
Fractional coordinates of all 3 atoms:
Li 0.936 0.936 0.873
Bi 0.294 0.294 0.587
Na 0.620 0.620 0.240